! GdIrBr6, relaxed, DFT PBE; values from VASP
&SYSTEM
  ibrav = 0, nat = 8, ntyp = 3
/
ATOMIC_SPECIES
Gd 157.25 Gd.upf
Ir 192.22 Ir.upf
Br 79.90 Br.upf
CELL_PARAMETERS angstrom
3.3464 -5.7739 0.0000
3.3464 5.7739 0.0000
-2.2762 0.0000 6.4504
ATOMIC_POSITIONS angstrom
Gd 0.0000 0.0000 0.0000
Ir 3.3464 -1.9458 0.0000
Br 1.0352 2.1195 1.5546
Br 0.1028 -0.1788 4.9199
Br 1.3217 -1.9898 1.5068
Br 3.3813 2.1195 4.8958
Br 4.3138 -0.1788 1.5305
Br 3.0949 -1.9898 4.9436
! **Calculated density**: 5.522 Mg/m³
! **Final energy**: -3.97 eV per atom
! **V**: 31.2 A^3/atom